Record 1
The following is a DFT calculation (GGA-PBE) of a relaxed Ac2Mg6ZnCd crystal.

```
Ac2Mg6ZnCd
1.0
-2.233 -1.761 -6.813
6.986 -1.414 -1.921
1.785 -6.570 -2.899
Cd Ac Zn Mg
1 2 1 6
Direct
0.500 0.500 0.000
0.750 0.250 0.500
0.250 0.750 0.500
0.000 0.000 0.000
0.757 0.757 0.000
0.243 0.243 0.000
0.757 0.243 0.000
0.757 0.757 0.486
0.243 0.243 0.514
0.243 0.757 0.000
```

Values from the calculation:
DOS at the Fermi energy: 5.39 states/eV per cell
Calculated formation energy: 53 meV per atom
Space group: No. 12

Record 2
The following is a DFT calculation (GGA-PBE) of a relaxed ScNi6B3 crystal.

```
ScNi6B3
1.0
4.285 0.000 -2.296
-2.758 4.004 0.000
0.339 0.234 5.779
B Ni Sc
3 6 1
Direct
0.647 0.323 0.970
0.249 0.124 0.373
0.313 0.657 0.970
0.169 0.642 0.254
0.727 0.085 0.254
0.293 0.401 0.675
0.274 0.892 0.675
0.783 0.382 0.675
0.612 0.527 0.254
0.932 0.966 0.898
```

Values from the calculation:
DOS at the Fermi energy: 5.00 states/eV per cell
Calculated formation energy: -326 meV per atom
Space group: No. 146